# 1
Density functional theory data (GGA-PBE) for an optimized crystal structure of MgFeAg4.

a b c (Å): 5.437 5.437 5.437
angles (deg): 60.00 60.00 60.00
Fractional positions:
Ag 0.625 0.625 0.625
Ag 0.625 0.125 0.625
Ag 0.625 0.625 0.125
Fe 0.250 0.250 0.250
Mg 0.000 0.000 0.000
Ag 0.125 0.625 0.625

Values from the calculation:
Uncorrected energy = -19.465 eV per cell
Formation energy from the elements = 0.333 eV/atom
D(E_F) = 0.877 states/eV/atom

# 2
Density functional theory data (GGA-PBE) for an optimized crystal structure of MgFeAg2.

a b c (Å): 4.773 4.773 2.967
angles (deg): 90.00 90.00 99.72
Fractional positions:
Ag 0.000 0.000 0.000
Fe 0.500 0.000 0.500
Mg 0.000 0.500 0.500
Ag 0.500 0.500 0.000

Values from the calculation:
Uncorrected energy = -15.052 eV per cell
Formation energy from the elements = 0.177 eV/atom
D(E_F) = 0.817 states/eV/atom

# 3
Density functional theory data (GGA-PBE) for an optimized crystal structure of MgFeAg2.

a b c (Å): 2.946 2.946 7.676
angles (deg): 90.00 90.00 89.97
Fractional positions:
Mg 0.500 0.500 0.750
Ag 0.000 0.000 0.488
Ag 0.000 0.000 0.012
Fe 0.500 0.500 0.250

Values from the calculation:
Uncorrected energy = -15.169 eV per cell
Formation energy from the elements = 0.148 eV/atom
D(E_F) = 0.584 states/eV/atom

# 4
Density functional theory data (GGA-PBE) for an optimized crystal structure of MgFeAg2.

a b c (Å): 5.022 5.022 4.882
angles (deg): 78.05 78.05 33.65
Fractional positions:
Ag 0.999 0.999 0.013
Fe 0.499 0.499 0.515
Mg 0.246 0.246 0.242
Ag 0.755 0.755 0.730

Values from the calculation:
Uncorrected energy = -15.022 eV per cell
Formation energy from the elements = 0.184 eV/atom
D(E_F) = 0.927 states/eV/atom

# 5
Density functional theory data (GGA-PBE) for an optimized crystal structure of MgFeAg2.

a b c (Å): 4.902 4.902 5.043
angles (deg): 79.81 79.81 34.29
Fractional positions:
Ag 0.494 0.494 0.507
Ag 0.006 0.006 0.993
Mg 0.250 0.250 0.250
Fe 0.750 0.750 0.750

Values from the calculation:
Uncorrected energy = -14.985 eV per cell
Formation energy from the elements = 0.194 eV/atom
D(E_F) = 0.660 states/eV/atom

# 6
Density functional theory data (GGA-PBE) for an optimized crystal structure of MgFeAg.

a b c (Å): 4.373 4.373 4.373
angles (deg): 60.00 60.00 60.00
Fractional positions:
Fe 0.000 0.000 0.000
Ag 0.750 0.750 0.750
Mg 0.500 0.500 0.500

Values from the calculation:
Uncorrected energy = -11.311 eV per cell
Formation energy from the elements = 0.533 eV/atom
D(E_F) = 0.445 states/eV/atom

# 7
Density functional theory data (GGA-PBE) for an optimized crystal structure of MgFe4Ag.

a b c (Å): 4.913 4.913 4.913
angles (deg): 60.00 60.00 60.00
Fractional positions:
Fe 0.872 0.376 0.376
Mg 0.750 0.750 0.750
Fe 0.376 0.376 0.376
Fe 0.376 0.376 0.872
Ag 0.000 0.000 0.000
Fe 0.376 0.872 0.376

Values from the calculation:
Uncorrected energy = -37.190 eV per cell
Formation energy from the elements = 0.184 eV/atom
D(E_F) = 1.064 states/eV/atom

# 8
Density functional theory data (GGA-PBE) for an optimized crystal structure of Mg4FeAg.

a b c (Å): 5.547 5.547 5.547
angles (deg): 60.00 60.00 60.00
Fractional positions:
Fe 0.000 0.000 0.000
Mg 0.375 0.375 0.876
Mg 0.876 0.375 0.375
Mg 0.375 0.876 0.375
Ag 0.750 0.750 0.750
Mg 0.375 0.375 0.375

Values from the calculation:
Uncorrected energy = -15.059 eV per cell
Formation energy from the elements = 0.439 eV/atom
D(E_F) = 1.380 states/eV/atom

# 9
Density functional theory data (GGA-PBE) for an optimized crystal structure of MgFeAg2.

a b c (Å): 5.487 5.487 5.487
angles (deg): 147.90 129.56 61.06
Fractional positions:
Fe 0.498 0.498 0.000
Ag 0.000 0.000 0.000
Ag 0.258 0.758 0.500
Mg 0.744 0.244 0.500

Values from the calculation:
Uncorrected energy = -14.967 eV per cell
Formation energy from the elements = 0.198 eV/atom
D(E_F) = 0.828 states/eV/atom

# 10
Density functional theory data (GGA-PBE) for an optimized crystal structure of MgFeAg2.

a b c (Å): 4.131 4.122 3.905
angles (deg): 90.00 90.00 90.00
Fractional positions:
Ag 0.000 0.000 0.000
Mg 0.000 0.500 0.500
Fe 0.500 0.000 0.500
Ag 0.500 0.500 0.000

Values from the calculation:
Uncorrected energy = -15.018 eV per cell
Formation energy from the elements = 0.185 eV/atom
D(E_F) = 1.148 states/eV/atom

# 11
Density functional theory data (GGA-PBE) for an optimized crystal structure of MgFeAg2.

a b c (Å): 2.962 3.759 6.006
angles (deg): 90.00 90.00 90.00
Fractional positions:
Ag 0.000 0.000 0.013
Mg 0.500 0.500 0.750
Ag 0.000 0.000 0.487
Fe 0.500 0.500 0.250

Values from the calculation:
Uncorrected energy = -15.125 eV per cell
Formation energy from the elements = 0.159 eV/atom
D(E_F) = 0.644 states/eV/atom

# 12
Density functional theory data (GGA-PBE) for an optimized crystal structure of MgFeAg2.

a b c (Å): 4.564 4.564 4.564
angles (deg): 60.00 60.00 60.00
Fractional positions:
Fe 0.500 0.500 0.500
Ag 0.250 0.250 0.250
Ag 0.000 0.000 0.000
Mg 0.750 0.750 0.750

Values from the calculation:
Uncorrected energy = -14.840 eV per cell
Formation energy from the elements = 0.230 eV/atom
D(E_F) = 0.999 states/eV/atom